The following is a DFT calculation (PBE) of an optimized crystal structure of SrMg2OsC.

Geometry as POSCAR:
```
SrMg2OsC
1.0
4.3793 0.0000 0.0000
0.0000 4.3793 0.0000
0.0000 0.0000 5.2212
Sr Mg Os C
1 2 1 1
Cartesian
0.0000 0.0000 0.0000 Sr
0.0000 2.1897 2.6106 Mg
2.1897 0.0000 2.6106 Mg
2.1897 2.1897 0.0000 Os
0.0000 0.0000 2.6106 C
```

The total energy is -4.158 eV per atom. For the energy relative to the elements, the calculation gives 907 meV per atom.

***

The following is a DFT calculation (PBE) of an optimized crystal structure of PmScCu10.

Geometry as POSCAR:
```
PmScCu10
1.0
4.1132 0.0000 0.0000
0.0000 4.9942 0.0000
0.0000 0.0000 8.6372
Pm Sc Cu
1 1 10
Cartesian
0.0000 0.0000 0.0000 Pm
0.0000 2.4971 4.3186 Sc
0.0000 0.0000 2.9555 Cu
0.0000 0.0000 5.6817 Cu
0.0000 2.4971 1.5339 Cu
0.0000 2.4971 7.1033 Cu
2.0566 0.0000 4.3186 Cu
2.0566 1.2642 2.2143 Cu
2.0566 1.2642 6.4229 Cu
2.0566 2.4971 0.0000 Cu
2.0566 3.7300 2.2143 Cu
2.0566 3.7300 6.4229 Cu
```

The total energy is -4.487 eV per atom. For the energy relative to the elements, the calculation gives -151 meV per atom.

***

The following is a DFT calculation (PBE) of an optimized crystal structure of TbY2Cu.

Geometry as POSCAR:
```
TbY2Cu
1.0
6.8526 0.0000 0.0000
0.0000 9.7770 0.0000
0.0000 0.0000 6.5240
Tb Y Cu
4 8 4
Cartesian
0.1255 2.4443 0.8747 Tb
3.3008 7.3328 4.1367 Tb
3.5518 2.4443 2.3873 Tb
6.7271 7.3328 5.6493 Tb
1.2914 0.5856 4.4675 Y
1.2914 4.3029 4.4675 Y
2.1349 5.4741 1.2054 Y
2.1349 9.1914 1.2054 Y
4.7177 0.5856 5.3186 Y
4.7177 4.3029 5.3186 Y
5.5612 5.4741 2.0566 Y
5.5612 9.1914 2.0566 Y
0.6734 7.3328 2.9300 Cu
2.7529 2.4443 6.1920 Cu
4.0998 7.3328 0.3320 Cu
6.1792 2.4443 3.5940 Cu
```

The total energy is -5.521 eV per atom. Its distance to the lowest polymorph of the same formula is 0 meV/atom. For the energy relative to the elements, the calculation gives -107 meV per atom.

***

The following is a DFT calculation (PBE) of an optimized crystal structure of TlTeSe4.

Geometry as POSCAR:
```
TlTeSe4
1.0
4.8982 -2.8483 0.0000
4.8982 2.8483 0.0000
-0.0730 0.0000 6.7088
Tl Te Se
1 1 4
Cartesian
0.0000 0.0000 0.0000 Tl
4.8617 0.0000 3.3544 Te
1.1318 0.0000 3.1317 Se
3.9129 0.0000 0.7228 Se
5.8105 0.0000 5.9860 Se
8.5916 0.0000 3.5771 Se
```

The total energy is -3.199 eV per atom. Its distance to the lowest polymorph of the same formula is 0 meV/atom. Its formation energy from raw total energies is 0.98 kcal/mol of atoms.